1.
BaThIr: relaxed, GGA-PBE.

The structure in extended XYZ format:
```
3
Lattice="-4.777 -1.254 -1.347 -3.973 2.513 2.025 -2.761 3.187 -2.903" Properties=species:S:1:pos:R:3 pbc="T T T"
Ba -8.633 3.334 -1.668
Ir 0.000 0.000 0.000
Th -2.878 1.111 -0.556
```

VASP energy = -6.1221 eV per atom
Size of the total moment = 0.0 μB per formula unit
Distance to the lowest polymorph of the same formula = 0.00 eV/f.u.
SG = F-43m (216)

---

2.
Ba2TlIr: relaxed, GGA-PBE.

The structure in extended XYZ format:
```
4
Lattice="0.000 3.850 3.850 3.850 0.000 3.850 3.850 3.850 0.000" Properties=species:S:1:pos:R:3 pbc="T T T"
Ba 0.000 0.000 0.000
Ba 1.925 1.925 1.925
Ir 3.850 3.850 3.850
Tl 5.775 5.775 5.775
```

VASP energy = -3.5978 eV per atom
Size of the total moment = 0.0 μB per formula unit
SG = F-43m (216)

---

3.
Ba3TlIr: relaxed, GGA-PBE.

The structure in extended XYZ format:
```
5
Lattice="-5.777 -1.836 -0.290 1.150 -2.785 -5.267 1.461 -5.069 2.999" Properties=species:S:1:pos:R:3 pbc="T T T"
Ba -2.888 -0.918 -0.145
Ba 0.575 -1.392 -2.634
Ba 0.730 -2.535 1.499
Ir 0.000 0.000 0.000
Tl -1.583 -4.845 -1.280
```

VASP energy = -3.5413 eV per atom
Size of the total moment = 0.1 μB per formula unit
SG = Pm-3m (221)

---

4.
BaTlIr: relaxed, GGA-PBE.

The structure in extended XYZ format:
```
3
Lattice="0.000 3.571 3.571 3.571 0.000 3.571 3.571 3.571 0.000" Properties=species:S:1:pos:R:3 pbc="T T T"
Ba 1.785 1.785 1.785
Ir 0.000 0.000 0.000
Tl 5.356 5.356 5.356
```

VASP energy = -4.3092 eV per atom
Size of the total moment = 0.0 μB per formula unit
SG = F-43m (216)